Density functional theory data (PBE-GGA) for an optimized crystal structure of Nd3Sb4Pd3.

Values from the calculation:
**Spin magnetization**: 0.0000 μB/atom
**Formation energy (no corrections)**: -0.964 eV/atom
**Theoretical density**: 8.34 Mg/m³
**Symmetry**: I-43d (220)

a b c (Å): 8.624 8.624 8.624
angles (deg): 109.47 109.47 109.47
Fractional positions:
Nd1 0.625 0.750 0.875
Nd2 0.875 0.250 0.625
Nd3 0.125 0.375 0.250
Nd4 0.375 0.125 0.750
Nd5 0.250 0.875 0.125
Nd6 0.750 0.625 0.375
Sb1 0.000 0.000 0.340
Sb2 0.500 0.340 0.500
Sb3 0.660 0.160 0.160
Sb4 0.000 0.000 0.840
Sb5 0.840 0.500 0.000
Sb6 0.500 0.840 0.500
Sb7 0.340 0.500 0.000
Sb8 0.160 0.660 0.660
Pd1 0.125 0.750 0.375
Pd2 0.375 0.250 0.125
Pd3 0.625 0.875 0.250
Pd4 0.875 0.625 0.750
Pd5 0.250 0.375 0.625
Pd6 0.750 0.125 0.875

Density functional theory data (PBE-GGA) for an optimized crystal structure of Nd2Sb7Pd12.

Values from the calculation:
**Spin magnetization**: 0.0000 μB/atom
**Formation energy (no corrections)**: -0.628 eV/atom
**Theoretical density**: 9.56 Mg/m³
**Symmetry**: P-3 (147)

a b c (Å): 4.346 10.565 10.565
angles (deg): 120.00 90.00 90.00
Fractional positions:
Nd1 0.239 0.333 0.667
Nd2 0.761 0.667 0.333
Sb1 0.500 0.000 0.000
Sb2 0.268 0.887 0.294
Sb3 0.268 0.406 0.113
Sb4 0.268 0.706 0.594
Sb5 0.732 0.113 0.706
Sb6 0.732 0.594 0.887
Sb7 0.732 0.294 0.406
Pd1 0.242 0.622 0.058
Pd2 0.242 0.436 0.378
Pd3 0.242 0.942 0.564
Pd4 0.758 0.378 0.942
Pd5 0.758 0.564 0.622
Pd6 0.758 0.058 0.436
Pd7 0.218 0.120 0.257
Pd8 0.218 0.137 0.880
Pd9 0.218 0.743 0.863
Pd10 0.782 0.880 0.743
Pd11 0.782 0.863 0.120
Pd12 0.782 0.257 0.137

Density functional theory data (PBE-GGA) for an optimized crystal structure of Nd2Sb2Pd3.

Values from the calculation:
**Spin magnetization**: 0.0000 μB/atom
**Formation energy (no corrections)**: -0.880 eV/atom
**Theoretical density**: 8.94 Mg/m³
**Symmetry**: C2/m (12)

a b c (Å): 4.325 5.983 7.166
angles (deg): 112.08 90.00 111.19
Fractional positions:
Nd1 0.866 0.732 0.247
Nd2 0.134 0.268 0.753
Sb1 0.850 0.700 0.774
Sb2 0.150 0.300 0.226
Pd1 0.500 0.000 0.000
Pd2 0.606 0.213 0.434
Pd3 0.394 0.787 0.566

Number 1 is which compound? Nd3Sb4Pd3

Copy entry 2 word for word.
Density functional theory data (PBE-GGA) for an optimized crystal structure of Nd2Sb7Pd12.

Values from the calculation:
**Spin magnetization**: 0.0000 μB/atom
**Formation energy (no corrections)**: -0.628 eV/atom
**Theoretical density**: 9.56 Mg/m³
**Symmetry**: P-3 (147)

a b c (Å): 4.346 10.565 10.565
angles (deg): 120.00 90.00 90.00
Fractional positions:
Nd1 0.239 0.333 0.667
Nd2 0.761 0.667 0.333
Sb1 0.500 0.000 0.000
Sb2 0.268 0.887 0.294
Sb3 0.268 0.406 0.113
Sb4 0.268 0.706 0.594
Sb5 0.732 0.113 0.706
Sb6 0.732 0.594 0.887
Sb7 0.732 0.294 0.406
Pd1 0.242 0.622 0.058
Pd2 0.242 0.436 0.378
Pd3 0.242 0.942 0.564
Pd4 0.758 0.378 0.942
Pd5 0.758 0.564 0.622
Pd6 0.758 0.058 0.436
Pd7 0.218 0.120 0.257
Pd8 0.218 0.137 0.880
Pd9 0.218 0.743 0.863
Pd10 0.782 0.880 0.743
Pd11 0.782 0.863 0.120
Pd12 0.782 0.257 0.137

What is the formula in the second record? Nd2Sb7Pd12